Li4Fe2Ni3Sb3O16: relaxed, GGA+U.

Unit cell a=6.023 b=6.077 c=9.551 alpha=91.91 beta=90.60 gamma=119.73
Sites, in units of the cell vectors:
1 O 0.464 0.965 0.838
2 O 0.964 0.476 0.345
3 O 0.848 0.674 0.598
4 O 0.678 0.852 0.100
5 O 0.167 0.337 0.108
6 O 0.343 0.189 0.597
7 O 0.168 0.849 0.102
8 O 0.321 0.666 0.608
9 O 0.661 0.327 0.099
10 O 0.523 0.041 0.339
11 O 0.010 0.017 0.319
12 O 0.033 0.512 0.849
13 O 0.019 0.012 0.807
14 O 0.847 0.180 0.597
15 O 0.490 0.530 0.849
16 O 0.518 0.478 0.346
17 Li 0.907 0.822 0.963
18 Li 0.333 0.664 0.404
19 Li 0.995 0.983 0.506
20 Li 0.655 0.321 0.871
21 Fe 0.348 0.705 0.978
22 Fe 0.684 0.353 0.496
23 Ni 0.666 0.844 0.711
24 Ni 0.833 0.667 0.223
25 Ni 0.170 0.834 0.711
26 Sb 0.178 0.348 0.716
27 Sb 0.339 0.177 0.214
28 Sb 0.838 0.177 0.213

Values from the calculation:
calculated volume = 303 Å³/cell
VASP energy = -5.641 eV/atom
SG = P1 (1)
size of the total moment = 0.3928 μB/atom